# 1
InOs3: relaxed, PBE.

```
data_InOs3
_chemical_formula_sum 'In1 Os3'
_cell_length_a 3.980
_cell_length_b 3.980
_cell_length_c 3.980
_cell_angle_alpha 90.00
_cell_angle_beta 90.00
_cell_angle_gamma 90.00
_symmetry_space_group_name_H-M 'P m -3 m'
_symmetry_Int_Tables_number 221
_symmetry_space_group_name_Hall '-P 4 2 3'
loop_
_atom_site_label
_atom_site_type_symbol
_atom_site_fract_x
_atom_site_fract_y
_atom_site_fract_z
_atom_site_occupancy
In1 In 0.000 0.000 0.000 1
Os1 Os 0.000 0.500 0.500 1
```

Summary:
DFT formation energy in meV per atom: 762.2
Crystal system: cubic
Raw total energy in eV per cell: -33.379
Theoretical density in kg/m³: 18056

# 2
InOs: relaxed, PBE.

```
data_InOs
_chemical_formula_sum 'In4 Os4'
_cell_length_a 4.066
_cell_length_b 4.066
_cell_length_c 8.373
_cell_angle_alpha 90.00
_cell_angle_beta 90.00
_cell_angle_gamma 90.00
_symmetry_space_group_name_H-M 'I 41/a m d'
_symmetry_Int_Tables_number 141
loop_
_symmetry_equiv_pos_as_xyz
'x,y,z'
'-x,-y,-z'
'-y+1/4,x+3/4,z+1/4'
'y+1/4,-x+3/4,-z+1/4'
'-x+1/2,-y,z+1/2'
'x+1/2,y,-z+1/2'
'y+1/4,-x+1/4,z+3/4'
'-y+1/4,x+1/4,-z+3/4'
'x,-y,-z'
'-x,y,z'
'-y+1/4,-x+1/4,-z+3/4'
'y+1/4,x+1/4,z+3/4'
'-x+1/2,y,-z+1/2'
'x+1/2,-y,z+1/2'
'y+1/4,x+3/4,-z+1/4'
'-y+1/4,-x+3/4,z+1/4'
'x+1/2,y+1/2,z+1/2'
'-x+1/2,-y+1/2,-z+1/2'
'-y+3/4,x+1/4,z+3/4'
'y+3/4,-x+1/4,-z+3/4'
'-x,-y+1/2,z'
'x,y+1/2,-z'
'y+3/4,-x+3/4,z+1/4'
'-y+3/4,x+3/4,-z+1/4'
'x+1/2,-y+1/2,-z+1/2'
'-x+1/2,y+1/2,z+1/2'
'-y+3/4,-x+3/4,-z+1/4'
'y+3/4,x+3/4,z+1/4'
'-x,y+1/2,-z'
'x,-y+1/2,z'
'y+3/4,x+1/4,-z+3/4'
'-y+3/4,-x+1/4,z+3/4'
loop_
_atom_site_label
_atom_site_type_symbol
_atom_site_fract_x
_atom_site_fract_y
_atom_site_fract_z
_atom_site_occupancy
In1 In 0.000 0.250 0.375 1
Os1 Os 0.000 0.250 0.875 1
```

Summary:
DFT formation energy in meV per atom: 703.4
Crystal system: tetragonal
Raw total energy in eV per cell: -50.245
Theoretical density in kg/m³: 14634

# 3
In2Os: relaxed, PBE.

```
data_In2Os
_chemical_formula_sum 'In8 Os4'
_cell_length_a 3.138
_cell_length_b 3.138
_cell_length_c 24.800
_cell_angle_alpha 90.00
_cell_angle_beta 90.00
_cell_angle_gamma 90.00
_symmetry_space_group_name_H-M 'I 41/a m d'
_symmetry_Int_Tables_number 141
loop_
_symmetry_equiv_pos_as_xyz
'x,y,z'
'-x,-y,-z'
'-y+1/4,x+3/4,z+1/4'
'y+1/4,-x+3/4,-z+1/4'
'-x+1/2,-y,z+1/2'
'x+1/2,y,-z+1/2'
'y+1/4,-x+1/4,z+3/4'
'-y+1/4,x+1/4,-z+3/4'
'x,-y,-z'
'-x,y,z'
'-y+1/4,-x+1/4,-z+3/4'
'y+1/4,x+1/4,z+3/4'
'-x+1/2,y,-z+1/2'
'x+1/2,-y,z+1/2'
'y+1/4,x+3/4,-z+1/4'
'-y+1/4,-x+3/4,z+1/4'
'x+1/2,y+1/2,z+1/2'
'-x+1/2,-y+1/2,-z+1/2'
'-y+3/4,x+1/4,z+3/4'
'y+3/4,-x+1/4,-z+3/4'
'-x,-y+1/2,z'
'x,y+1/2,-z'
'y+3/4,-x+3/4,z+1/4'
'-y+3/4,x+3/4,-z+1/4'
'x+1/2,-y+1/2,-z+1/2'
'-x+1/2,y+1/2,z+1/2'
'-y+3/4,-x+3/4,-z+1/4'
'y+3/4,x+3/4,z+1/4'
'-x,y+1/2,-z'
'x,-y+1/2,z'
'y+3/4,x+1/4,-z+3/4'
'-y+3/4,-x+1/4,z+3/4'
loop_
_atom_site_label
_atom_site_type_symbol
_atom_site_fract_x
_atom_site_fract_y
_atom_site_fract_z
_atom_site_occupancy
In1 In 0.000 0.250 0.305 1
Os1 Os 0.000 0.250 0.875 1
```

Summary:
DFT formation energy in meV per atom: 416.8
Crystal system: tetragonal
Raw total energy in eV per cell: -61.825
Theoretical density in kg/m³: 11419

# 4
InOs3: relaxed, PBE.

```
data_InOs3
_chemical_formula_sum 'In3 Os9'
_cell_length_a 8.8291
_cell_length_b 8.8291
_cell_length_c 2.8191
_cell_angle_alpha 90.00
_cell_angle_beta 90.00
_cell_angle_gamma 120.00
_symmetry_space_group_name_H-M 'R -3 m'
_symmetry_Int_Tables_number 166
_symmetry_space_group_name_Hall '-R 3 2"'
loop_
_atom_site_label
_atom_site_type_symbol
_atom_site_fract_x
_atom_site_fract_y
_atom_site_fract_z
_atom_site_occupancy
In1 In 0.0000 0.0000 0.0000 1
Os1 Os 0.0000 0.5000 0.0000 1
```

Summary:
DFT formation energy in meV per atom: 880.0
Crystal system: trigonal
Raw total energy in eV per cell: -98.723
Theoretical density in kg/m³: 17944

# 5
In3Os: relaxed, PBE.

```
data_In3Os
_chemical_formula_sum 'In3 Os1'
_cell_length_a 3.286
_cell_length_b 4.863
_cell_length_c 5.048
_cell_angle_alpha 90.00
_cell_angle_beta 90.00
_cell_angle_gamma 90.00
_symmetry_space_group_name_H-M 'P m m 2'
_symmetry_Int_Tables_number 25
loop_
_symmetry_equiv_pos_as_xyz
'x,y,z'
'-x,-y,z'
'-x,y,z'
'x,-y,z'
loop_
_atom_site_label
_atom_site_type_symbol
_atom_site_fract_x
_atom_site_fract_y
_atom_site_fract_z
_atom_site_occupancy
In1 In 0.000 0.000 0.000 1
In2 In 0.000 0.500 0.346 1
In3 In 0.500 0.000 0.522 1
Os1 Os 0.500 0.500 0.830 1
```

Summary:
DFT formation energy in meV per atom: 503.7
Crystal system: orthorhombic
Raw total energy in eV per cell: -17.430
Theoretical density in kg/m³: 11006

# 6
InOs3: relaxed, PBE.

```
data_InOs3
_chemical_formula_sum 'In1 Os3'
_cell_length_a 2.833
_cell_length_b 4.501
_cell_length_c 4.941
_cell_angle_alpha 90.00
_cell_angle_beta 90.00
_cell_angle_gamma 90.00
_symmetry_space_group_name_H-M 'P m m 2'
_symmetry_Int_Tables_number 25
loop_
_symmetry_equiv_pos_as_xyz
'x,y,z'
'-x,-y,z'
'-x,y,z'
'x,-y,z'
loop_
_atom_site_label
_atom_site_type_symbol
_atom_site_fract_x
_atom_site_fract_y
_atom_site_fract_z
_atom_site_occupancy
In1 In 0.000 0.000 0.000 1
Os1 Os 0.000 0.500 0.333 1
Os2 Os 0.500 0.000 0.502 1
Os3 Os 0.500 0.500 0.790 1
```

Summary:
DFT formation energy in meV per atom: 528.2
Crystal system: orthorhombic
Raw total energy in eV per cell: -34.315
Theoretical density in kg/m³: 18068

# 7
In3Os: relaxed, PBE.

```
data_In3Os
_chemical_formula_sum 'In3 Os1'
_cell_length_a 3.161
_cell_length_b 3.161
_cell_length_c 8.765
_cell_angle_alpha 90.00
_cell_angle_beta 90.00
_cell_angle_gamma 90.00
_symmetry_space_group_name_H-M 'P 4/m m m'
_symmetry_Int_Tables_number 123
_symmetry_space_group_name_Hall '-P 4 2'
loop_
_atom_site_label
_atom_site_type_symbol
_atom_site_fract_x
_atom_site_fract_y
_atom_site_fract_z
_atom_site_occupancy
In1 In 0.000 0.000 0.000 1
In2 In 0.500 0.500 0.304 1
Os1 Os 0.000 0.000 0.500 1
```

Summary:
DFT formation energy in meV per atom: 353.7
Crystal system: tetragonal
Raw total energy in eV per cell: -18.030
Theoretical density in kg/m³: 10140

# 8
InOs: relaxed, PBE.

```
data_InOs
_chemical_formula_sum 'In6 Os6'
_cell_length_a 10.982
_cell_length_b 2.974
_cell_length_c 6.765
_cell_angle_alpha 90.00
_cell_angle_beta 103.72
_cell_angle_gamma 90.00
_symmetry_space_group_name_H-M 'C 1 m 1'
_symmetry_Int_Tables_number 8
loop_
_symmetry_equiv_pos_as_xyz
'x,y,z'
'x,-y,z'
'x+1/2,y+1/2,z'
'x+1/2,-y+1/2,z'
loop_
_atom_site_label
_atom_site_type_symbol
_atom_site_fract_x
_atom_site_fract_y
_atom_site_fract_z
_atom_site_occupancy
In1 In 0.000 0.000 0.000 1
In2 In 0.029 0.000 0.551 1
In3 In 0.298 0.000 0.633 1
Os1 Os 0.155 0.500 0.297 1
Os2 Os 0.228 0.500 0.941 1
Os3 Os 0.350 0.000 0.249 1
```

Summary:
DFT formation energy in meV per atom: 500.5
Crystal system: monoclinic
Raw total energy in eV per cell: -77.803
Theoretical density in kg/m³: 14160

# 9
InOs: relaxed, PBE.

```
data_InOs
_chemical_formula_sum 'In4 Os4'
_cell_length_a 6.097
_cell_length_b 6.097
_cell_length_c 6.097
_cell_angle_alpha 90.00
_cell_angle_beta 90.00
_cell_angle_gamma 90.00
_symmetry_space_group_name_H-M 'F -4 3 m'
_symmetry_Int_Tables_number 216
_symmetry_space_group_name_Hall 'F -4 2 3'
loop_
_atom_site_label
_atom_site_type_symbol
_atom_site_fract_x
_atom_site_fract_y
_atom_site_fract_z
_atom_site_occupancy
In1 In 0.000 0.000 0.000 1
Os1 Os 0.250 0.250 0.750 1
```

Summary:
DFT formation energy in meV per atom: 2058.6
Crystal system: cubic
Raw total energy in eV per cell: -39.404
Theoretical density in kg/m³: 8939

# 10
InOs5: relaxed, PBE.

```
data_InOs5
_chemical_formula_sum 'In2 Os10'
_cell_length_a 10.185
_cell_length_b 2.809
_cell_length_c 6.606
_cell_angle_alpha 90.00
_cell_angle_beta 104.93
_cell_angle_gamma 90.00
_symmetry_space_group_name_H-M 'C 1 m 1'
_symmetry_Int_Tables_number 8
loop_
_symmetry_equiv_pos_as_xyz
'x,y,z'
'x,-y,z'
'x+1/2,y+1/2,z'
'x+1/2,-y+1/2,z'
loop_
_atom_site_label
_atom_site_type_symbol
_atom_site_fract_x
_atom_site_fract_y
_atom_site_fract_z
_atom_site_occupancy
In1 In 0.000 0.000 0.000 1
Os1 Os 0.047 0.000 0.599 1
Os2 Os 0.162 0.500 0.340 1
Os3 Os 0.225 0.500 0.930 1
Os4 Os 0.314 0.000 0.648 1
Os5 Os 0.372 0.000 0.286 1
```

Summary:
DFT formation energy in meV per atom: 270.2
Crystal system: monoclinic
Raw total energy in eV per cell: -114.532
Theoretical density in kg/m³: 19387

# 11
InOs3: relaxed, PBE.

```
data_InOs3
_chemical_formula_sum 'In2 Os6'
_cell_length_a 3.931
_cell_length_b 3.931
_cell_length_c 8.080
_cell_angle_alpha 90.00
_cell_angle_beta 90.00
_cell_angle_gamma 90.00
_symmetry_space_group_name_H-M 'I 4/m m m'
_symmetry_Int_Tables_number 139
_symmetry_space_group_name_Hall '-I 4 2'
loop_
_atom_site_label
_atom_site_type_symbol
_atom_site_fract_x
_atom_site_fract_y
_atom_site_fract_z
_atom_site_occupancy
In1 In 0.000 0.000 0.000 1
Os1 Os 0.000 0.000 0.500 1
Os2 Os 0.000 0.500 0.250 1
```

Summary:
DFT formation energy in meV per atom: 605.8
Crystal system: tetragonal
Raw total energy in eV per cell: -68.009
Theoretical density in kg/m³: 18230

# 12
In3Os: relaxed, PBE.

```
data_In3Os
_chemical_formula_sum 'In6 Os2'
_cell_length_a 5.775
_cell_length_b 8.318
_cell_length_c 3.356
_cell_angle_alpha 90.00
_cell_angle_beta 90.00
_cell_angle_gamma 90.00
_symmetry_space_group_name_H-M 'C m m m'
_symmetry_Int_Tables_number 65
_symmetry_space_group_name_Hall '-C 2 2'
loop_
_atom_site_label
_atom_site_type_symbol
_atom_site_fract_x
_atom_site_fract_y
_atom_site_fract_z
_atom_site_occupancy
In1 In 0.000 0.000 0.000 1
In2 In 0.250 0.250 0.500 1
Os1 Os 0.000 0.500 0.000 1
```

Summary:
DFT formation energy in meV per atom: 543.6
Crystal system: orthorhombic
Raw total energy in eV per cell: -34.541
Theoretical density in kg/m³: 11017

# 13
InOs: relaxed, PBE.

```
data_InOs
_chemical_formula_sum 'In2 Os2'
_cell_length_a 3.052
_cell_length_b 5.048
_cell_length_c 4.560
_cell_angle_alpha 90.00
_cell_angle_beta 90.00
_cell_angle_gamma 90.00
_symmetry_space_group_name_H-M 'C m m m'
_symmetry_Int_Tables_number 65
_symmetry_space_group_name_Hall '-C 2 2'
loop_
_atom_site_label
_atom_site_type_symbol
_atom_site_fract_x
_atom_site_fract_y
_atom_site_fract_z
_atom_site_occupancy
In1 In 0.000 0.000 0.000 1
Os1 Os 0.000 0.500 0.500 1
```

Summary:
DFT formation energy in meV per atom: 734.5
Crystal system: orthorhombic
Raw total energy in eV per cell: -24.999
Theoretical density in kg/m³: 14421

# 14
InOs3: relaxed, PBE.

```
data_InOs3
_chemical_formula_sum 'In1 Os3'
_cell_length_a 5.005
_cell_length_b 5.005
_cell_length_c 5.005
_cell_angle_alpha 90.00
_cell_angle_beta 90.00
_cell_angle_gamma 90.00
_symmetry_space_group_name_H-M 'P m -3 m'
_symmetry_Int_Tables_number 221
_symmetry_space_group_name_Hall '-P 4 2 3'
loop_
_atom_site_label
_atom_site_type_symbol
_atom_site_fract_x
_atom_site_fract_y
_atom_site_fract_z
_atom_site_occupancy
In1 In 0.000 0.000 0.000 1
Os1 Os 0.000 0.000 0.500 1
```

Summary:
DFT formation energy in meV per atom: 4025.7
Crystal system: cubic
Raw total energy in eV per cell: -20.325
Theoretical density in kg/m³: 9078